This record from the Alexandria database describes an optimized crystal structure of ScInI3. The functional is PBEsol.

Raw formation energy = 0.0914 eV/atom
Theoretical density = 4.48 g/cm3
Energy above the lowest structure with this stoichiometry = 0.7629 eV/atom
Raw total energy = -2.89 eV/atom

Unit cell a=5.8524 b=5.8524 c=5.8524 alpha=90.00 beta=90.00 gamma=90.00
Closest atoms and distances in Å follow each position.
Space group Pm-3m (No. 221)
Inequivalent atoms, fractional coordinates:
Sc1 0.0000 0.0000 0.0000 [1 per cell]  12 I 4.14
In1 0.5000 0.5000 0.5000 [1 per cell]  6 I 2.93
I1 0.0000 0.5000 0.5000 [3 per cell]  2 In 2.93